VASP calculation (PBE-GGA) on a relaxed ReOsW2 crystal.

Cell lengths 4.8304, 4.8304, 4.8304 Å; angles 131.50, 131.50, 71.01 degrees
Last column: nearest neighbours and their distance in Å.
Fractional coordinates of all 4 atoms:
Re  0.0000  0.0000  0.0000  8 W 2.79, 4 Os 2.81
Os  0.5000  0.5000  0.0000  8 W 2.79, 4 Re 2.81
W  0.2500  0.7500  0.5000  4 Re 2.79, 4 Os 2.79, 4 W 2.81
W  0.7500  0.2500  0.5000  4 Re 2.79, 4 Os 2.79, 4 W 2.81

Calculated values
- volume (Å³/cell) = 62
- energy relative to the elements (meV per atom) = 137
- ΔE to the lowest computed polymorph (meV/atom) = 5

VASP calculation (PBE-GGA) on a relaxed ReOsW2 crystal.

Cell lengths 6.9859, 6.9859, 6.9859 Å; angles 131.55, 131.55, 70.93 degrees
Last column: nearest neighbours and their distance in Å.
Fractional coordinates of all 8 atoms:
Re  0.0000  0.0000  0.0000  4 W 2.49
Re  0.7500  0.2500  0.5000  4 W 2.49
Os  0.2500  0.7500  0.5000  4 W 2.46
Os  0.5000  0.5000  0.0000  4 W 2.46
W  0.1293  0.6250  0.0043  2 Os 2.46, 2 Re 2.49
W  0.3750  0.3793  0.5043  2 Os 2.46, 2 Re 2.49
W  0.6207  0.1250  0.9957  2 Os 2.46, 2 Re 2.49
W  0.8750  0.8707  0.4957  2 Os 2.46, 2 Re 2.49

Calculated values
- volume (Å³/cell) = 187
- energy relative to the elements (meV per atom) = 1744
- ΔE to the lowest computed polymorph (meV/atom) = 1612

VASP calculation (PBE-GGA) on a relaxed ReOsW crystal.

Cell lengths 6.3318, 6.3318, 6.3318 Å; angles 154.77, 154.77, 35.98 degrees
Last column: nearest neighbours and their distance in Å.
Fractional coordinates of all 3 atoms:
Re  0.0000  0.0000  0.0000  4 Os 2.67, 4 Re 2.77, 4 W 2.91
Os  0.3496  0.3496  0.0000  4 Re 2.67, 4 Os 2.77, 4 W 2.84
W  0.6791  0.6791  0.0000  4 W 2.77, 4 Os 2.84, 4 Re 2.91

Calculated values
- volume (Å³/cell) = 46
- energy relative to the elements (meV per atom) = 45
- ΔE to the lowest computed polymorph (meV/atom) = 0

VASP calculation (PBE-GGA) on a relaxed Re2OsW crystal.

Cell lengths 2.7805, 3.8922, 5.6119 Å; angles 90.00, 90.00, 90.00 degrees
Last column: nearest neighbours and their distance in Å.
Fractional coordinates of all 4 atoms:
Re  0.0000  0.0000  0.2401  4 Re 2.69-2.92, 4 Os 2.75, 4 W 2.80
Re  0.0000  0.0000  0.7599  4 Re 2.69-2.92, 4 Os 2.75, 4 W 2.80
Os  0.5000  0.5000  0.0000  8 Re 2.75, 2 Os 2.78, 2 W 2.81
W  0.5000  0.5000  0.5000  2 W 2.78, 8 Re 2.80, 2 Os 2.81

Calculated values
- volume (Å³/cell) = 61
- energy relative to the elements (meV per atom) = 121
- ΔE to the lowest computed polymorph (meV/atom) = 54

VASP calculation (PBE-GGA) on a relaxed Re2OsW crystal.

Cell lengths 4.8292, 4.8292, 4.8292 Å; angles 132.19, 132.19, 69.93 degrees
Last column: nearest neighbours and their distance in Å.
Fractional coordinates of all 4 atoms:
Re  0.2500  0.7500  0.5000  4 Re 2.77, 4 W 2.78, 4 Os 2.78
Re  0.7500  0.2500  0.5000  4 Re 2.77, 4 W 2.78, 4 Os 2.78
Os  0.0000  0.0000  0.0000  4 W 2.77, 8 Re 2.78
W  0.5000  0.5000  0.0000  4 Os 2.77, 8 Re 2.78

Calculated values
- volume (Å³/cell) = 61
- energy relative to the elements (meV per atom) = 99
- ΔE to the lowest computed polymorph (meV/atom) = 32

VASP calculation (PBE-GGA) on a relaxed Re2OsW crystal.

Cell lengths 9.2696, 9.2696, 9.2696 Å; angles 17.20, 17.20, 17.20 degrees
Last column: nearest neighbours and their distance in Å.
Fractional coordinates of all 4 atoms:
Re  0.0000  0.0000  0.0000  9 Re 2.73-2.77, 3 W 2.86
Re  0.2526  0.2526  0.2526  9 Re 2.73-2.77, 3 Os 2.79
Os  0.5023  0.5023  0.5023  3 W 2.77, 6 Os 2.77, 3 Re 2.79
W  0.7532  0.7532  0.7532  3 Os 2.77, 6 W 2.77, 3 Re 2.86

Calculated values
- volume (Å³/cell) = 61
- energy relative to the elements (meV per atom) = 139
- ΔE to the lowest computed polymorph (meV/atom) = 73

VASP calculation (PBE-GGA) on a relaxed ReOsW2 crystal.

Cell lengths 2.7514, 4.4387, 5.1268 Å; angles 90.00, 96.71, 90.00 degrees
Last column: nearest neighbours and their distance in Å.
Fractional coordinates of all 4 atoms:
Re  0.0000  0.0000  0.0000  5 W 2.71-3.00, 2 Re 2.75, 4 Os 2.78-2.91
Os  0.4056  0.5000  0.7790  5 W 2.62-2.93, 2 Os 2.75, 4 Re 2.78-2.91
W  0.4830  0.0000  0.5056  2 Os 2.65, 4 W 2.71-2.75, 2 Re 2.76-2.77
W  0.7970  0.5000  0.2710  3 Os 2.62-2.93, 2 Re 2.71, 4 W 2.71-2.75

Calculated values
- volume (Å³/cell) = 62
- energy relative to the elements (meV per atom) = 191
- ΔE to the lowest computed polymorph (meV/atom) = 59

VASP calculation (PBE-GGA) on a relaxed ReOsW2 crystal.

Cell lengths 4.4426, 4.4426, 4.4426 Å; angles 60.00, 60.00, 60.00 degrees
Last column: nearest neighbours and their distance in Å.
Fractional coordinates of all 4 atoms:
Re  0.0000  0.0000  0.0000  4 W 2.72, 4 Os 2.72
Os  0.2500  0.2500  0.2500  4 W 2.72, 4 Re 2.72
W  0.5000  0.5000  0.5000  4 W 2.72, 4 Os 2.72
W  0.7500  0.7500  0.7500  4 W 2.72, 4 Re 2.72

Calculated values
- volume (Å³/cell) = 62
- energy relative to the elements (meV per atom) = 288
- ΔE to the lowest computed polymorph (meV/atom) = 156

VASP calculation (PBE-GGA) on a relaxed Re2OsW crystal.

Cell lengths 5.1965, 5.1965, 5.1965 Å; angles 144.88, 129.66, 62.86 degrees
Last column: nearest neighbours and their distance in Å.
Fractional coordinates of all 4 atoms:
Re  0.2341  0.2341  0.0000  2 W 2.60, 4 Re 2.72, 2 Os 2.83
Re  0.7659  0.7659  0.0000  2 W 2.60, 4 Re 2.72, 2 Os 2.83
Os  0.5000  0.0000  0.5000  4 W 2.71, 8 Re 2.83-3.03
W  0.0000  0.5000  0.5000  4 Re 2.60, 4 Os 2.71

Calculated values
- volume (Å³/cell) = 61
- energy relative to the elements (meV per atom) = 311
- ΔE to the lowest computed polymorph (meV/atom) = 245

VASP calculation (PBE-GGA) on a relaxed ReOsW3 crystal.

Cell lengths 4.6634, 4.6634, 4.6634 Å; angles 90.00, 90.00, 90.00 degrees
Last column: nearest neighbours and their distance in Å.
Fractional coordinates of all 5 atoms:
Re  0.0000  0.0000  0.0000  12 W 3.30
Os  0.5000  0.5000  0.5000  6 W 2.33
W  0.0000  0.5000  0.5000  2 Os 2.33
W  0.5000  0.0000  0.5000  2 Os 2.33
W  0.5000  0.5000  0.0000  2 Os 2.33

Calculated values
- volume (Å³/cell) = 101
- energy relative to the elements (meV per atom) = 2305

VASP calculation (PBE-GGA) on a relaxed ReOsW crystal.

Cell lengths 2.7754, 2.7754, 6.8532 Å; angles 90.00, 90.00, 120.00 degrees
Last column: nearest neighbours and their distance in Å.
Fractional coordinates of all 3 atoms:
Re  0.0000  0.0000  0.0000  3 Os 2.72, 6 Re 2.78, 3 W 2.87
Os  0.3333  0.6667  0.6795  3 Re 2.72, 6 Os 2.78, 3 W 2.78
W  0.6667  0.3333  0.3472  6 W 2.78, 3 Os 2.78, 3 Re 2.87

Calculated values
- volume (Å³/cell) = 46
- energy relative to the elements (meV per atom) = 159
- ΔE to the lowest computed polymorph (meV/atom) = 115

VASP calculation (PBE-GGA) on a relaxed ReOsW2 crystal.

Cell lengths 9.4936, 9.4936, 9.4936 Å; angles 16.80, 16.80, 16.80 degrees
Last column: nearest neighbours and their distance in Å.
Fractional coordinates of all 4 atoms:
Re  0.0000  0.0000  0.0000  3 Os 2.73, 6 Re 2.77, 3 W 2.87
Os  0.7454  0.7454  0.7454  3 Re 2.73, 6 Os 2.77, 3 W 2.80
W  0.2486  0.2486  0.2486  9 W 2.77-2.94, 3 Re 2.87
W  0.4941  0.4941  0.4941  9 W 2.77-2.94, 3 Os 2.80

Calculated values
- volume (Å³/cell) = 62
- energy relative to the elements (meV per atom) = 255
- ΔE to the lowest computed polymorph (meV/atom) = 123

VASP calculation (PBE-GGA) on a relaxed Re2OsW crystal.

Cell lengths 2.7826, 3.9111, 5.5697 Å; angles 90.00, 90.00, 90.00 degrees
Last column: nearest neighbours and their distance in Å.
Fractional coordinates of all 4 atoms:
Re  0.0000  0.0000  0.0000  6 Re 2.75-2.78, 4 Os 2.76, 2 W 2.77-2.80
Re  0.5000  0.5000  0.2422  2 Os 2.72-2.85, 6 Re 2.75-2.78, 4 W 2.81
Os  0.5000  0.5000  0.7536  6 Re 2.72-2.85, 4 W 2.78, 2 Os 2.78
W  0.0000  0.0000  0.5034  6 Re 2.77-2.81, 4 Os 2.78, 2 W 2.78

Calculated values
- volume (Å³/cell) = 61
- energy relative to the elements (meV per atom) = 91
- ΔE to the lowest computed polymorph (meV/atom) = 25

VASP calculation (PBE-GGA) on a relaxed Re2Os2W crystal.

Cell lengths 7.4940, 7.4940, 2.7789 Å; angles 90.00, 90.00, 90.00 degrees
Last column: nearest neighbours and their distance in Å.
Fractional coordinates of all 10 atoms:
Re  0.1706  0.3294  0.0000  6 Os 2.57-2.64, 2 Re 2.78
Re  0.3294  0.8294  0.0000  6 Os 2.57-2.64, 2 Re 2.78
Re  0.6706  0.1706  0.0000  6 Os 2.57-2.64, 2 Re 2.78
Re  0.8294  0.6706  0.0000  6 Os 2.57-2.64, 2 Re 2.78
Os  0.1250  0.6250  0.5000  6 Re 2.57-2.64, 3 Os 2.65-2.78
Os  0.3750  0.1250  0.5000  6 Re 2.57-2.64, 3 Os 2.65-2.78
Os  0.6250  0.8750  0.5000  6 Re 2.57-2.64, 3 Os 2.65-2.78
Os  0.8750  0.3750  0.5000  6 Re 2.57-2.64, 3 Os 2.65-2.78
W  0.0000  0.0000  0.5000  2 W 2.78, 4 Os 2.96, 8 Re 3.11
W  0.5000  0.5000  0.5000  2 W 2.78, 4 Os 2.96, 8 Re 3.11

Calculated values
- volume (Å³/cell) = 156
- energy relative to the elements (meV per atom) = 255
- ΔE to the lowest computed polymorph (meV/atom) = 0

VASP calculation (PBE-GGA) on a relaxed ReOsW2 crystal.

Cell lengths 3.1327, 3.1327, 6.3839 Å; angles 90.00, 90.00, 90.00 degrees
Last column: nearest neighbours and their distance in Å.
Fractional coordinates of all 4 atoms:
Re  0.0000  0.0000  0.0000  4 W 2.64, 4 Os 2.87
Os  0.5000  0.5000  0.7150  4 W 2.66, 4 Re 2.87
W  0.0000  0.0000  0.4838  4 Os 2.66, 4 W 2.77
W  0.5000  0.5000  0.2244  4 Re 2.64, 4 W 2.77

Calculated values
- volume (Å³/cell) = 63
- energy relative to the elements (meV per atom) = 255
- ΔE to the lowest computed polymorph (meV/atom) = 123